A relaxed structure of ScCuP, computed with PBE.

POSCAR file:
```
ScCuP
1.0
4.0488 -1.6433 1.3312
1.9423 2.6031 3.2119
-4.1491 -1.8544 -0.4600
P Sc Cu
1 1 1
direct
0.3181 0.3181 0.0000 P
0.6714 0.6714 0.0000 Sc
0.0105 0.0105 0.0000 Cu
```

Properties
energy of formation from the pure elements = -0.432 eV/atom
symmetry = No. 107


A relaxed structure of Sc2CuP2, computed with PBE.

POSCAR file:
```
Sc2CuP2
1.0
-1.8028 5.1988 -4.0113
-6.5281 -0.9704 1.6762
0.3726 2.2567 2.7573
P Sc Cu
4 4 2
direct
0.1562 0.3438 0.0000 P
0.8438 0.6562 0.0000 P
0.6562 0.1562 0.0000 P
0.3438 0.8438 0.0000 P
0.6560 0.8440 0.5000 Sc
0.1560 0.6560 0.5000 Sc
0.8440 0.3440 0.5000 Sc
0.3440 0.1560 0.5000 Sc
0.0000 0.0000 0.0000 Cu
0.5000 0.5000 0.0000 Cu
```

Properties
excess energy over the best structure of this formula in the dataset = 0.00 eV/f.u.
energy of formation from the pure elements = -0.926 eV/atom
symmetry = No. 127


Number 1: calculated density 4.70 g/cm³. Number 2: calculated density 4.31 g/cm³.